First-principles (PBE with a Hubbard U) data for Rb2LaVF6 after structural relaxation, as listed in the Alexandria database.

For the total DFT energy (no corrections), the calculation gives -5.45 eV per atom.

It has space group Fm-3m (No. 225), with a = 9.187 Å, b = 9.187 Å, c = 9.187 Å, α = 90.00°, β = 90.00° and γ = 90.00°. The asymmetric unit holds Rb at (0.250, 0.250, 0.250), La at (0.000, 0.000, 0.000), V at (0.000, 0.000, 0.500) and F at (0.000, 0.000, 0.263).